Entry 1:
An optimized crystal structure of Li2NiCl, computed with PBE.

Properties
The formation energy from raw total energies comes out at -0.050 eV/atom. The calculation puts the total DFT energy (no corrections) at -0.10707 Ha/atom. Its space-group type is No. 216.

Cell lengths 4.303, 4.303, 4.303 Å; angles 60.00, 60.00, 60.00 degrees
Positions (direct):
Li 0.000 0.000 0.000
Li 0.250 0.250 0.250
Ni 0.500 0.500 0.500
Cl 0.750 0.750 0.750


Entry 2:
An optimized crystal structure of Li2PPbO4, computed with PBE.

Properties
The formation energy from raw total energies comes out at -1.801 eV/atom. The calculation puts the total DFT energy (no corrections) at -0.21676 Ha/atom. Its space-group type is No. 8.

Cell lengths 5.119, 5.119, 5.353 Å; angles 117.60, 117.60, 91.73 degrees
Positions (direct):
Li 0.250 0.750 0.000
Li 0.750 0.250 0.000
P 0.498 0.498 0.501
Pb 0.012 0.012 0.500
O 0.209 0.209 0.185
O 0.462 0.802 0.502
O 0.523 0.523 0.816
O 0.802 0.462 0.502


Entry 3:
An optimized crystal structure of CoRe2Rh2, computed with PBE.

Properties
The calculation puts the total DFT energy (no corrections) at -0.31753 Ha/atom. The energy relative to the elements is 701 meV/atom. Its space-group type is No. 139.

Cell lengths 6.495, 6.495, 6.495 Å; angles 147.43, 147.43, 46.73 degrees
Positions (direct):
Co 0.000 0.000 0.000
Re 0.404 0.404 0.000
Re 0.596 0.596 0.000
Rh 0.250 0.750 0.500
Rh 0.750 0.250 0.500


Entry 4:
An optimized crystal structure of Cd3Hg5Pb, computed with PBE.

Properties
The calculation puts the total DFT energy (no corrections) at -0.03083 Ha/atom. The energy relative to the elements is 46 meV/atom. Its space-group type is No. 193.

Cell lengths 9.099, 9.099, 6.491 Å; angles 90.00, 90.00, 120.00 degrees
Positions (direct):
Cd 0.000 0.343 0.250
Cd 0.000 0.657 0.750
Cd 0.343 0.000 0.250
Cd 0.343 0.343 0.750
Cd 0.657 0.000 0.750
Cd 0.657 0.657 0.250
Hg 0.000 0.334 0.750
Hg 0.000 0.666 0.250
Hg 0.333 0.667 0.000
Hg 0.333 0.667 0.500
Hg 0.334 0.000 0.750
Hg 0.334 0.334 0.250
Hg 0.666 0.000 0.250
Hg 0.666 0.666 0.750
Hg 0.667 0.333 0.000
Hg 0.667 0.333 0.500
Pb 0.000 0.000 0.000
Pb 0.000 0.000 0.500


Entry 5:
An optimized crystal structure of NdSm8Dy5, computed with PBE.

Properties
The calculation puts the total DFT energy (no corrections) at -0.16314 Ha/atom. The energy relative to the elements is 241 meV/atom. Its space-group type is No. 82.

Cell lengths 8.533, 8.533, 8.533 Å; angles 111.53, 111.53, 105.43 degrees
Positions (direct):
Nd 0.000 0.000 0.000
Sm 0.090 0.326 0.410
Sm 0.281 0.176 0.754
Sm 0.320 0.910 0.236
Sm 0.422 0.527 0.246
Sm 0.473 0.719 0.895
Sm 0.674 0.084 0.764
Sm 0.824 0.578 0.105
Sm 0.916 0.680 0.590
Dy 0.029 0.433 0.816
Dy 0.250 0.750 0.500
Dy 0.567 0.384 0.596
Dy 0.616 0.213 0.184
Dy 0.787 0.971 0.404


Entry 6:
An optimized crystal structure of MgZn2Cd, computed with PBE.

Properties
The calculation puts the total DFT energy (no corrections) at -0.04770 Ha/atom. The energy relative to the elements is -34 meV/atom. Its space-group type is No. 6.

Cell lengths 3.193, 4.368, 5.540 Å; angles 90.00, 106.69, 90.00 degrees
Positions (direct):
Mg 0.000 0.000 0.000
Zn 0.600 0.500 0.200
Zn 0.729 0.000 0.462
Cd 0.340 0.500 0.675


Entry 7:
An optimized crystal structure of Ca2Ga5Ge, computed with PBE.

Properties
The calculation puts the total DFT energy (no corrections) at -0.12384 Ha/atom. The energy relative to the elements is -401 meV/atom. Its space-group type is No. 63.

Cell lengths 9.051, 9.051, 8.790 Å; angles 90.00, 90.00, 151.63 degrees
Positions (direct):
Ca 0.000 0.000 0.000
Ca 0.000 0.000 0.500
Ca 0.195 0.805 0.750
Ca 0.805 0.195 0.250
Ga 0.193 0.807 0.104
Ga 0.193 0.807 0.396
Ga 0.354 0.646 0.010
Ga 0.354 0.646 0.490
Ga 0.422 0.578 0.750
Ga 0.578 0.422 0.250
Ga 0.646 0.354 0.510
Ga 0.646 0.354 0.990
Ga 0.807 0.193 0.604
Ga 0.807 0.193 0.896
Ge 0.435 0.565 0.250
Ge 0.565 0.435 0.750


Entry 8:
An optimized crystal structure of InI2NO, computed with PBE.

Properties
The formation energy from raw total energies comes out at 0.760 eV/atom. The calculation puts the total DFT energy (no corrections) at -0.11262 Ha/atom. Its space-group type is No. 123.

Cell lengths 6.364, 6.364, 3.837 Å; angles 90.00, 90.00, 90.00 degrees
Positions (direct):
In 0.000 0.000 0.000
I 0.000 0.500 0.000
I 0.500 0.000 0.000
N 0.500 0.500 0.500
O 0.000 0.000 0.500


Entry 9:
An optimized crystal structure of U2AsPRu6, computed with PBE.

Properties
The calculation puts the total DFT energy (no corrections) at -0.32798 Ha/atom. The energy relative to the elements is -96 meV/atom. Its space-group type is No. 59.

Cell lengths 6.066, 8.609, 7.166 Å; angles 90.00, 90.00, 90.00 degrees
Positions (direct):
U 0.250 0.025 0.241
U 0.250 0.475 0.241
U 0.750 0.525 0.759
U 0.750 0.975 0.759
As 0.250 0.250 0.724
As 0.750 0.750 0.276
P 0.250 0.750 0.763
P 0.750 0.250 0.237
Ru 0.022 0.250 0.017
Ru 0.029 0.250 0.436
Ru 0.250 0.505 0.896
Ru 0.250 0.995 0.896
Ru 0.471 0.250 0.436
Ru 0.478 0.250 0.017
Ru 0.522 0.750 0.983
Ru 0.529 0.750 0.564
Ru 0.750 0.005 0.104
Ru 0.750 0.495 0.104
Ru 0.971 0.750 0.564
Ru 0.978 0.750 0.983


Entry 10:
An optimized crystal structure of NdEr3Pd2, computed with PBE.

Properties
The calculation puts the total DFT energy (no corrections) at -0.19850 Ha/atom. The energy relative to the elements is -595 meV/atom. Its space-group type is No. 123.

Cell lengths 3.540, 3.540, 11.968 Å; angles 90.00, 90.00, 90.00 degrees
Positions (direct):
Nd 0.000 0.000 0.000
Er 0.500 0.500 0.220
Er 0.500 0.500 0.500
Er 0.500 0.500 0.780
Pd 0.000 0.000 0.358
Pd 0.000 0.000 0.642


Entry 11:
An optimized crystal structure of MnSb2Au, computed with PBE.

Properties
The formation energy from raw total energies comes out at 0.087 eV/atom. The calculation puts the total DFT energy (no corrections) at -0.18692 Ha/atom. Its space-group type is No. 25.

Cell lengths 3.178, 3.926, 7.339 Å; angles 90.00, 90.00, 90.00 degrees
Positions (direct):
Mn 0.000 0.000 0.000
Sb 0.000 0.000 0.602
Sb 0.500 0.500 0.201
Au 0.500 0.500 0.812


Entry 12:
An optimized crystal structure of Zn2H2Cl, computed with PBE.

Properties
The calculation puts the total DFT energy (no corrections) at -0.07840 Ha/atom. Its space-group type is No. 139.

Cell lengths 5.463, 5.463, 5.463 Å; angles 139.17, 139.17, 59.12 degrees
Positions (direct):
Zn 0.250 0.750 0.500
Zn 0.750 0.250 0.500
H 0.207 0.207 0.000
H 0.793 0.793 0.000
Cl 0.500 0.500 0.000


Entry 13:
An optimized crystal structure of HfPaMnOs, computed with PBE.

Properties
The calculation puts the total DFT energy (no corrections) at -0.37215 Ha/atom. The energy relative to the elements is -164 meV/atom. Its space-group type is No. 216.

Cell lengths 4.689, 4.689, 4.689 Å; angles 60.00, 60.00, 60.00 degrees
Positions (direct):
Hf 0.000 0.000 0.000
Pa 0.500 0.500 0.500
Mn 0.250 0.250 0.250
Os 0.750 0.750 0.750


Entry 14:
An optimized crystal structure of HgGeAs2, computed with PBE.

Properties
The calculation puts the total DFT energy (no corrections) at -0.11978 Ha/atom. The energy relative to the elements is 295 meV/atom. Its space-group type is No. 166.

Cell lengths 10.235, 10.235, 10.235 Å; angles 18.91, 18.91, 18.91 degrees
Positions (direct):
Hg 0.000 0.000 0.000
Ge 0.500 0.500 0.500
As 0.108 0.108 0.108
As 0.892 0.892 0.892


Entry 15:
An optimized crystal structure of GeSeBr2, computed with PBE.

Properties
The formation energy from raw total energies comes out at -0.476 eV/atom. The calculation puts the total DFT energy (no corrections) at -0.12266 Ha/atom. Its space-group type is No. 14.

Cell lengths 6.827, 5.852, 18.647 Å; angles 90.00, 111.39, 90.00 degrees
Positions (direct):
Ge 0.067 0.000 0.318
Ge 0.067 0.500 0.818
Ge 0.933 0.000 0.682
Ge 0.933 0.500 0.182
Se 0.215 0.250 0.250
Se 0.215 0.250 0.750
Se 0.785 0.750 0.250
Se 0.785 0.750 0.750
Br 0.080 0.693 0.105
Br 0.080 0.807 0.605
Br 0.368 0.693 0.895
Br 0.368 0.807 0.395
Br 0.632 0.193 0.605
Br 0.632 0.307 0.105
Br 0.920 0.193 0.395
Br 0.920 0.307 0.895


Entry 16:
An optimized crystal structure of BaPaAs2, computed with PBE.

Properties
The calculation puts the total DFT energy (no corrections) at -0.22771 Ha/atom. The energy relative to the elements is -1017 meV/atom. Its space-group type is No. 160.

Cell lengths 8.069, 8.069, 8.069 Å; angles 30.75, 30.75, 30.75 degrees
Positions (direct):
Ba 0.000 0.000 0.000
Pa 0.173 0.173 0.173
As 0.573 0.573 0.573
As 0.771 0.771 0.771


Entry 17:
An optimized crystal structure of Li4LaRu, computed with PBE.

Properties
The calculation puts the total DFT energy (no corrections) at -0.12735 Ha/atom. The energy relative to the elements is 178 meV/atom. Its space-group type is No. 216.

Cell lengths 5.267, 5.267, 5.267 Å; angles 60.00, 60.00, 60.00 degrees
Positions (direct):
Li 0.120 0.120 0.120
Li 0.120 0.120 0.639
Li 0.120 0.639 0.120
Li 0.639 0.120 0.120
La 0.500 0.500 0.500
Ru 0.750 0.750 0.750


Entry 18:
An optimized crystal structure of NaAg3Pd, computed with PBE.

Properties
The calculation puts the total DFT energy (no corrections) at -0.10704 Ha/atom. The energy relative to the elements is 100 meV/atom. Its space-group type is No. 194.

Cell lengths 6.851, 6.851, 5.359 Å; angles 90.00, 90.00, 120.00 degrees
Positions (direct):
Na 0.333 0.667 0.250
Na 0.667 0.333 0.750
Ag 0.199 0.398 0.750
Ag 0.199 0.801 0.750
Ag 0.398 0.199 0.250
Ag 0.602 0.801 0.750
Ag 0.801 0.199 0.250
Ag 0.801 0.602 0.250
Pd 0.000 0.000 0.000
Pd 0.000 0.000 0.500


Entry 19:
An optimized crystal structure of Pm3Ga3Ru, computed with PBE.

Properties
The calculation puts the total DFT energy (no corrections) at -0.19131 Ha/atom. The energy relative to the elements is -547 meV/atom. Its space-group type is No. 12.

Cell lengths 6.028, 6.028, 14.998 Å; angles 106.14, 106.14, 39.45 degrees
Positions (direct):
Pm 0.024 0.024 0.386
Pm 0.117 0.117 0.922
Pm 0.237 0.237 0.239
Pm 0.763 0.763 0.761
Pm 0.883 0.883 0.078
Pm 0.976 0.976 0.614
Ga 0.336 0.336 0.462
Ga 0.399 0.399 0.926
Ga 0.475 0.475 0.771
Ga 0.525 0.525 0.229
Ga 0.601 0.601 0.074
Ga 0.664 0.664 0.538
Ru 0.275 0.275 0.622
Ru 0.725 0.725 0.378


Entry 20:
An optimized crystal structure of SmAlCd, computed with PBE.

Properties
The calculation puts the total DFT energy (no corrections) at -0.12695 Ha/atom. The energy relative to the elements is -329 meV/atom. Its space-group type is No. 12.

Cell lengths 8.794, 8.794, 4.060 Å; angles 102.86, 102.86, 30.30 degrees
Positions (direct):
Sm 0.104 0.104 0.351
Sm 0.896 0.896 0.649
Al 0.455 0.455 0.207
Al 0.545 0.545 0.793
Cd 0.295 0.295 0.055
Cd 0.705 0.705 0.945